No. 1
# Dy2PaCrC4, relaxed, DFT PBE
# Space group: Cmcm (63)
# E_form, meV per atom: -74
data_Dy2PaCrC4
_cell_length_a 3.4358
_cell_length_b 6.0286
_cell_length_c 12.0194
_cell_angle_alpha 90.00
_cell_angle_beta 90.00
_cell_angle_gamma 106.56
_space_group_name_H-M_alt 'P 1'
_space_group_IT_number 1
_space_group_name_Hall 'P 1'
loop_
_atom_site_label
_atom_site_type_symbol
_atom_site_fract_x
_atom_site_fract_y
_atom_site_fract_z
Pa1 Pa 0.9078 0.8156 0.2500
Pa2 Pa 0.0922 0.1844 0.7500
Cr1 Cr 0.8286 0.6572 0.7500
Cr2 Cr 0.1714 0.3428 0.2500
C1 C 0.7257 0.4513 0.6388
C2 C 0.0000 0.0000 0.5000
C3 C 0.4281 0.8562 0.7500
C4 C 0.7257 0.4513 0.8612
C5 C 0.0000 0.0000 0.0000
C6 C 0.5719 0.1438 0.2500
C7 C 0.2743 0.5487 0.1388
C8 C 0.2743 0.5487 0.3612
Dy1 Dy 0.3682 0.7363 0.9555
Dy2 Dy 0.6318 0.2637 0.0445
Dy3 Dy 0.6318 0.2637 0.4555
Dy4 Dy 0.3682 0.7363 0.5445


No. 2
# DyPaCrC3, relaxed, DFT PBE
# Space group: C2/m (12)
# E_form, meV per atom: -206
data_DyPaCrC3
_cell_length_a 3.8050
_cell_length_b 6.8345
_cell_length_c 6.9181
_cell_angle_alpha 104.97
_cell_angle_beta 90.00
_cell_angle_gamma 106.16
_space_group_name_H-M_alt 'P 1'
_space_group_IT_number 1
_space_group_name_Hall 'P 1'
loop_
_atom_site_label
_atom_site_type_symbol
_atom_site_fract_x
_atom_site_fract_y
_atom_site_fract_z
C1 C 0.8362 0.6724 0.6470
C2 C 0.5020 0.0041 0.2542
C3 C 0.4980 0.9959 0.7458
C4 C 0.1638 0.3276 0.3530
C5 C 0.1549 0.3099 0.8154
C6 C 0.8451 0.6901 0.1846
Dy1 Dy 0.6471 0.2942 0.0780
Dy2 Dy 0.3529 0.7058 0.9220
Pa1 Pa 0.3540 0.7080 0.4293
Pa2 Pa 0.6460 0.2920 0.5707
Cr1 Cr 0.0044 0.0088 0.7694
Cr2 Cr 0.9956 0.9912 0.2306


No. 3
# PmDy2Cr2C4, relaxed, DFT PBE
# Space group: C2/m (12)
# E_form, meV per atom: -43
data_PmDy2Cr2C4
_cell_length_a 3.4495
_cell_length_b 6.9055
_cell_length_c 5.9665
_cell_angle_alpha 109.50
_cell_angle_beta 90.00
_cell_angle_gamma 104.46
_space_group_name_H-M_alt 'P 1'
_space_group_IT_number 1
_space_group_name_Hall 'P 1'
loop_
_atom_site_label
_atom_site_type_symbol
_atom_site_fract_x
_atom_site_fract_y
_atom_site_fract_z
C1 C 0.5504 0.1008 0.7473
C2 C 0.2168 0.4337 0.1831
C3 C 0.4496 0.8992 0.2527
C4 C 0.7832 0.5663 0.8169
Cr1 Cr 0.6807 0.3614 0.9912
Cr2 Cr 0.3193 0.6386 0.0088
Pm1 Pm 0.0000 0.0000 0.0000
Dy1 Dy 0.8642 0.7284 0.4528
Dy2 Dy 0.1358 0.2716 0.5472


No. 4
# Dy2PuCr2C4, relaxed, DFT PBE
# Space group: C2/m (12)
# E_form, meV per atom: -61
data_Dy2PuCr2C4
_cell_length_a 3.3943
_cell_length_b 6.7301
_cell_length_c 5.9427
_cell_angle_alpha 109.84
_cell_angle_beta 90.00
_cell_angle_gamma 104.61
_space_group_name_H-M_alt 'P 1'
_space_group_IT_number 1
_space_group_name_Hall 'P 1'
loop_
_atom_site_label
_atom_site_type_symbol
_atom_site_fract_x
_atom_site_fract_y
_atom_site_fract_z
Dy1 Dy 0.1353 0.2707 0.5392
Dy2 Dy 0.8647 0.7293 0.4608
C1 C 0.5372 0.0744 0.7517
C2 C 0.4628 0.9256 0.2483
C3 C 0.2197 0.4395 0.1963
C4 C 0.7803 0.5605 0.8037
Pu1 Pu 0.0000 0.0000 0.0000
Cr1 Cr 0.3200 0.6401 0.0099
Cr2 Cr 0.6800 0.3599 0.9901


No. 5
# DyPu2CrC4, relaxed, DFT PBE
# Space group: Cmcm (63)
# E_form, meV per atom: 32
data_DyPu2CrC4
_cell_length_a 3.4950
_cell_length_b 5.8847
_cell_length_c 11.9992
_cell_angle_alpha 90.00
_cell_angle_beta 90.00
_cell_angle_gamma 107.27
_space_group_name_H-M_alt 'P 1'
_space_group_IT_number 1
_space_group_name_Hall 'P 1'
loop_
_atom_site_label
_atom_site_type_symbol
_atom_site_fract_x
_atom_site_fract_y
_atom_site_fract_z
C1 C 0.5790 0.1581 0.2500
C2 C 0.0000 0.0000 0.0000
C3 C 0.0000 0.0000 0.5000
C4 C 0.4210 0.8419 0.7500
C5 C 0.7363 0.4727 0.8692
C6 C 0.2637 0.5273 0.3692
C7 C 0.7363 0.4727 0.6308
C8 C 0.2637 0.5273 0.1308
Dy1 Dy 0.1082 0.2165 0.7500
Dy2 Dy 0.8918 0.7835 0.2500
Pu1 Pu 0.3690 0.7379 0.9561
Pu2 Pu 0.6310 0.2621 0.4561
Pu3 Pu 0.3690 0.7379 0.5439
Pu4 Pu 0.6310 0.2621 0.0439
Cr1 Cr 0.8373 0.6746 0.7500
Cr2 Cr 0.1627 0.3254 0.2500


No. 6
# DySc2Cr2C4, relaxed, DFT PBE
# Space group: C2/m (12)
# E_form, meV per atom: -227
data_DySc2Cr2C4
_cell_length_a 3.1702
_cell_length_b 6.6478
_cell_length_c 5.6679
_cell_angle_alpha 112.04
_cell_angle_beta 90.00
_cell_angle_gamma 103.79
_space_group_name_H-M_alt 'P 1'
_space_group_IT_number 1
_space_group_name_Hall 'P 1'
loop_
_atom_site_label
_atom_site_type_symbol
_atom_site_fract_x
_atom_site_fract_y
_atom_site_fract_z
C1 C 0.2207 0.4414 0.2166
C2 C 0.7793 0.5586 0.7834
C3 C 0.5221 0.0442 0.6354
C4 C 0.4779 0.9558 0.3646
Dy1 Dy 0.0000 0.0000 0.0000
Cr1 Cr 0.6743 0.3485 0.9738
Cr2 Cr 0.3257 0.6515 0.0262
Sc1 Sc 0.1504 0.3007 0.5411
Sc2 Sc 0.8496 0.6993 0.4589


No. 7
# Dy2ScCr2C4, relaxed, DFT PBE
# Space group: C2/m (12)
# E_form, meV per atom: -211
data_Dy2ScCr2C4
_cell_length_a 3.3371
_cell_length_b 6.5921
_cell_length_c 5.8350
_cell_angle_alpha 108.62
_cell_angle_beta 90.00
_cell_angle_gamma 104.66
_space_group_name_H-M_alt 'P 1'
_space_group_IT_number 1
_space_group_name_Hall 'P 1'
loop_
_atom_site_label
_atom_site_type_symbol
_atom_site_fract_x
_atom_site_fract_y
_atom_site_fract_z
Sc1 Sc 0.0000 0.0000 0.0000
Dy1 Dy 0.1309 0.2617 0.5354
Dy2 Dy 0.8691 0.7383 0.4646
Cr1 Cr 0.3231 0.6462 0.0059
Cr2 Cr 0.6769 0.3538 0.9941
C1 C 0.5370 0.0741 0.7600
C2 C 0.4630 0.9259 0.2400
C3 C 0.2153 0.4307 0.1918
C4 C 0.7847 0.5693 0.8082


No. 8
# Sm2DyCr2C4, relaxed, DFT PBE
# Space group: C2/m (12)
# E_form, meV per atom: -107
data_Sm2DyCr2C4
_cell_length_a 3.4612
_cell_length_b 6.8580
_cell_length_c 6.0192
_cell_angle_alpha 108.42
_cell_angle_beta 90.00
_cell_angle_gamma 104.62
_space_group_name_H-M_alt 'P 1'
_space_group_IT_number 1
_space_group_name_Hall 'P 1'
loop_
_atom_site_label
_atom_site_type_symbol
_atom_site_fract_x
_atom_site_fract_y
_atom_site_fract_z
C1 C 0.7858 0.5715 0.8243
C2 C 0.2142 0.4285 0.1757
C3 C 0.4490 0.8979 0.2348
C4 C 0.5510 0.1021 0.7652
Sm1 Sm 0.1341 0.2682 0.5421
Sm2 Sm 0.8659 0.7318 0.4579
Dy1 Dy 0.0000 0.0000 0.0000
Cr1 Cr 0.6807 0.3615 0.9979
Cr2 Cr 0.3193 0.6385 0.0021


No. 9
# SmDy2Cr2C4, relaxed, DFT PBE
# Space group: C2/m (12)
# E_form, meV per atom: -58
data_SmDy2Cr2C4
_cell_length_a 3.4390
_cell_length_b 6.8698
_cell_length_c 5.9771
_cell_angle_alpha 109.75
_cell_angle_beta 90.00
_cell_angle_gamma 104.50
_space_group_name_H-M_alt 'P 1'
_space_group_IT_number 1
_space_group_name_Hall 'P 1'
loop_
_atom_site_label
_atom_site_type_symbol
_atom_site_fract_x
_atom_site_fract_y
_atom_site_fract_z
C1 C 0.5481 0.0961 0.7469
C2 C 0.2169 0.4337 0.1843
C3 C 0.4519 0.9039 0.2531
C4 C 0.7831 0.5663 0.8157
Dy1 Dy 0.8646 0.7292 0.4539
Dy2 Dy 0.1354 0.2708 0.5461
Sm1 Sm 0.0000 0.0000 0.0000
Cr1 Cr 0.3197 0.6394 0.0104
Cr2 Cr 0.6803 0.3606 0.9896


No. 10
# DyTa2CrC4, relaxed, DFT PBE
# Space group: Cmcm (63)
# E_form, meV per atom: -369
data_DyTa2CrC4
_cell_length_a 3.1968
_cell_length_b 5.7837
_cell_length_c 10.9886
_cell_angle_alpha 90.00
_cell_angle_beta 90.00
_cell_angle_gamma 106.04
_space_group_name_H-M_alt 'P 1'
_space_group_IT_number 1
_space_group_name_Hall 'P 1'
loop_
_atom_site_label
_atom_site_type_symbol
_atom_site_fract_x
_atom_site_fract_y
_atom_site_fract_z
C1 C 0.2645 0.5291 0.3833
C2 C 0.7355 0.4709 0.6167
C3 C 0.0000 0.0000 0.0000
C4 C 0.5684 0.1368 0.2500
C5 C 0.7355 0.4709 0.8833
C6 C 0.0000 0.0000 0.5000
C7 C 0.4316 0.8632 0.7500
C8 C 0.2645 0.5291 0.1167
Ta1 Ta 0.3704 0.7407 0.5413
Ta2 Ta 0.6296 0.2593 0.0413
Ta3 Ta 0.6296 0.2593 0.4587
Ta4 Ta 0.3704 0.7407 0.9587
Dy1 Dy 0.1017 0.2034 0.7500
Dy2 Dy 0.8983 0.7966 0.2500
Cr1 Cr 0.1649 0.3298 0.2500
Cr2 Cr 0.8351 0.6702 0.7500


No. 11
# DyTaCrC3, relaxed, DFT PBE
# Space group: P2_1/m (11)
# E_form, meV per atom: -129
data_DyTaCrC3
_cell_length_a 3.3246
_cell_length_b 6.8674
_cell_length_c 7.3604
_cell_angle_alpha 101.57
_cell_angle_beta 90.00
_cell_angle_gamma 90.00
_space_group_name_H-M_alt 'P 1'
_space_group_IT_number 1
_space_group_name_Hall 'P 1'
loop_
_atom_site_label
_atom_site_type_symbol
_atom_site_fract_x
_atom_site_fract_y
_atom_site_fract_z
C1 C 0.2500 0.8184 0.4764
C2 C 0.7500 0.8794 0.1456
C3 C 0.2500 0.5665 0.8482
C4 C 0.7500 0.4335 0.1518
C5 C 0.7500 0.1816 0.5236
C6 C 0.2500 0.1206 0.8544
Cr1 Cr 0.2500 0.0997 0.6042
Cr2 Cr 0.7500 0.9003 0.3958
Dy1 Dy 0.7500 0.8213 0.8067
Dy2 Dy 0.2500 0.1787 0.1933
Ta1 Ta 0.7500 0.3574 0.8569
Ta2 Ta 0.2500 0.6426 0.1431


Calculated magnetic moment, 0.00, 0.00, 0.00, 4.82, 8.98, 0.00, 0.00, 0.00, 0.00, 0.00, 0.00 μB per formula unit (same order as the records).